# Tm5Tl2Pt2

A relaxed structure of Tm5Tl2Pt2 (PBE, Alexandria).

The structure belongs to space group Cmce (No. 64); the cell edges are 15.7371, 8.0703 and 7.3073 Å and the angles 90.00°, 90.00° and 90.00°. The asymmetric unit holds Tm at (0.0000, 0.0000, 0.0000), Tm at (0.1179, 0.1758, 0.3392), Tl at (0.2171, 0.0000, 0.0000) and Pt at (0.0000, 0.1323, 0.6351).

For the calculated formation energy, the calculation gives -0.754 eV per atom. The calculation puts the density of states at the Fermi level at 35.6 states/eV per cell. The value obtained for the magnetic moment is 0.00 μB/f.u.